# 1
This record from Alexandria describes a relaxed CaHg7Pd5 crystal. The functional is PBE.

Summary:
Total moment (μB per atom): 0.000
Formation energy from the elements (eV per atom): -0.2706
Space group: Imm2, No. 44

Structure (CIF):
```
data_CaHg7Pd5
_chemical_formula_sum 'Ca1 Hg7 Pd5'
_symmetry_space_group_name_H-M 'P 1'
_symmetry_Int_Tables_number 1
_symmetry_space_group_name_Hall 'P 1'
_cell_length_a 5.773
_cell_length_b 7.394
_cell_length_c 7.394
_cell_angle_alpha 81.56
_cell_angle_beta 67.02
_cell_angle_gamma 67.02
loop_
_atom_site_label
_atom_site_fract_x
_atom_site_fract_y
_atom_site_fract_z
Ca1 0.041 0.959 0.959
Hg1 0.687 0.313 0.313
Hg2 0.355 0.645 0.645
Hg3 0.983 0.349 0.685
Hg4 0.983 0.685 0.349
Hg5 0.256 0.244 0.244
Hg6 0.500 0.811 0.190
Hg7 0.500 0.190 0.811
Pd1 0.486 0.005 0.511
Pd2 0.998 0.005 0.511
Pd3 0.486 0.511 0.005
Pd4 0.998 0.511 0.005
Pd5 0.729 0.771 0.771
```

***

# 2
This record from Alexandria describes a relaxed NaAl2ZnP crystal. The functional is PBE.

Summary:
Total moment (μB per atom): 0.000
Formation energy from the elements (eV per atom): 1.2433
Space group: P4/mmm, No. 123

Structure (CIF):
```
data_NaAl2ZnP
_chemical_formula_sum 'Na1 Al2 Zn1 P1'
_symmetry_space_group_name_H-M 'P 1'
_symmetry_Int_Tables_number 1
_symmetry_space_group_name_Hall 'P 1'
_cell_length_a 5.149
_cell_length_b 5.149
_cell_length_c 4.807
_cell_angle_alpha 90.00
_cell_angle_beta 90.00
_cell_angle_gamma 90.00
loop_
_atom_site_label
_atom_site_fract_x
_atom_site_fract_y
_atom_site_fract_z
P1 0.500 0.500 0.500
Zn1 0.000 0.000 0.500
Al1 0.000 0.500 0.000
Al2 0.500 0.000 0.000
Na1 0.000 0.000 0.000
```